Entry 1:
# Na2CoNi, relaxed, DFT PBE
data_Na2CoNi
_chemical_formula_sum 'Na8 Co4 Ni4'
_symmetry_space_group_name_H-M 'P 1'
_symmetry_Int_Tables_number 1
_symmetry_space_group_name_Hall 'P 1'
_cell_length_a 7.826
_cell_length_b 7.826
_cell_length_c 4.897
_cell_angle_alpha 90.00
_cell_angle_beta 90.00
_cell_angle_gamma 90.00
loop_
_atom_site_label
_atom_site_type_symbol
_atom_site_fract_x
_atom_site_fract_y
_atom_site_fract_z
Na1 Na 0.232 0.250 0.125
Na2 Na 0.250 0.732 0.375
Na3 Na 0.250 0.768 0.875
Na4 Na 0.268 0.250 0.625
Na5 Na 0.732 0.750 0.625
Na6 Na 0.750 0.232 0.875
Na7 Na 0.750 0.268 0.375
Na8 Na 0.768 0.750 0.125
Co1 Co 0.000 0.000 0.500
Co2 Co 0.000 0.500 0.750
Co3 Co 0.500 0.000 0.250
Co4 Co 0.500 0.500 0.000
Ni1 Ni 0.000 0.000 0.000
Ni2 Ni 0.000 0.500 0.250
Ni3 Ni 0.500 0.000 0.750
Ni4 Ni 0.500 0.500 0.500
# E_form: 910 meV per atom
# total magnetic moment: 2.3 μB per formula unit
# ΔE to the lowest computed polymorph: 0 meV per atom

***

Entry 2:
# MgHgRu3, relaxed, DFT PBE
data_MgHgRu3
_chemical_formula_sum 'Mg1 Hg1 Ru3'
_symmetry_space_group_name_H-M 'P 1'
_symmetry_Int_Tables_number 1
_symmetry_space_group_name_Hall 'P 1'
_cell_length_a 4.522
_cell_length_b 4.522
_cell_length_c 4.522
_cell_angle_alpha 90.00
_cell_angle_beta 90.00
_cell_angle_gamma 90.00
loop_
_atom_site_label
_atom_site_type_symbol
_atom_site_fract_x
_atom_site_fract_y
_atom_site_fract_z
Mg1 Mg 0.000 0.000 0.000
Hg1 Hg 0.500 0.500 0.500
Ru1 Ru 0.000 0.000 0.500
Ru2 Ru 0.000 0.500 0.000
Ru3 Ru 0.500 0.000 0.000
# E_form: 1643 meV per atom
# total magnetic moment: 2.6 μB per formula unit
# ΔE to the lowest computed polymorph: 0 meV per atom

***

Entry 3:
# CdTcAsI2, relaxed, DFT PBE
data_CdTcAsI2
_chemical_formula_sum 'Cd1 Tc1 As1 I2'
_symmetry_space_group_name_H-M 'P 1'
_symmetry_Int_Tables_number 1
_symmetry_space_group_name_Hall 'P 1'
_cell_length_a 6.009
_cell_length_b 6.009
_cell_length_c 4.849
_cell_angle_alpha 90.00
_cell_angle_beta 90.00
_cell_angle_gamma 90.00
loop_
_atom_site_label
_atom_site_type_symbol
_atom_site_fract_x
_atom_site_fract_y
_atom_site_fract_z
Cd1 Cd 0.000 0.000 0.000
Tc1 Tc 0.500 0.500 0.000
As1 As 0.500 0.500 0.500
I1 I 0.000 0.500 0.500
I2 I 0.500 0.000 0.500
# formation energy (no corrections): 3.73 eV/f.u.
# total magnetic moment: 3.6 μB per formula unit
# ΔE to the lowest computed polymorph: 0 meV per atom

***

Entry 4:
# SrTiTcO6, relaxed, DFT PBE
data_SrTiTcO6
_chemical_formula_sum 'Sr2 Ti2 Tc2 O12'
_symmetry_space_group_name_H-M 'P 1'
_symmetry_Int_Tables_number 1
_symmetry_space_group_name_Hall 'P 1'
_cell_length_a 5.207
_cell_length_b 5.207
_cell_length_c 10.791
_cell_angle_alpha 90.00
_cell_angle_beta 90.00
_cell_angle_gamma 120.00
loop_
_atom_site_label
_atom_site_type_symbol
_atom_site_fract_x
_atom_site_fract_y
_atom_site_fract_z
Sr1 Sr 0.000 0.000 0.000
Sr2 Sr 0.000 0.000 0.500
Ti1 Ti 0.333 0.667 0.250
Ti2 Ti 0.667 0.333 0.750
Tc1 Tc 0.333 0.667 0.750
Tc2 Tc 0.667 0.333 0.250
O1 O 0.005 0.384 0.650
O2 O 0.005 0.622 0.850
O3 O 0.378 0.384 0.850
O4 O 0.378 0.995 0.650
O5 O 0.384 0.005 0.150
O6 O 0.384 0.378 0.350
O7 O 0.616 0.622 0.650
O8 O 0.616 0.995 0.850
O9 O 0.622 0.005 0.350
O10 O 0.622 0.616 0.150
O11 O 0.995 0.378 0.150
O12 O 0.995 0.616 0.350
# formation energy (no corrections): -20.68 eV/f.u.
# total magnetic moment: 1.0 μB per formula unit

***

Entry 5:
# Re2SbSe, relaxed, DFT PBE
data_Re2SbSe
_chemical_formula_sum 'Re2 Sb1 Se1'
_symmetry_space_group_name_H-M 'P 1'
_symmetry_Int_Tables_number 1
_symmetry_space_group_name_Hall 'P 1'
_cell_length_a 3.116
_cell_length_b 4.389
_cell_length_c 6.313
_cell_angle_alpha 90.00
_cell_angle_beta 90.00
_cell_angle_gamma 90.00
loop_
_atom_site_label
_atom_site_type_symbol
_atom_site_fract_x
_atom_site_fract_y
_atom_site_fract_z
Re1 Re 0.000 0.000 0.000
Re2 Re 0.500 0.500 0.091
Sb1 Sb 0.000 0.500 0.733
Se1 Se 0.500 0.000 0.308
# formation energy (no corrections): 1.41 eV/f.u.
# total magnetic moment: 0.0 μB per formula unit
# ΔE to the lowest computed polymorph: 170 meV per atom

***

Entry 6:
# CaTb4Sm2, relaxed, DFT PBE
data_CaTb4Sm2
_chemical_formula_sum 'Ca1 Tb4 Sm2'
_symmetry_space_group_name_H-M 'P 1'
_symmetry_Int_Tables_number 1
_symmetry_space_group_name_Hall 'P 1'
_cell_length_a 20.981
_cell_length_b 20.981
_cell_length_c 20.981
_cell_angle_alpha 9.86
_cell_angle_beta 9.86
_cell_angle_gamma 9.86
loop_
_atom_site_label
_atom_site_type_symbol
_atom_site_fract_x
_atom_site_fract_y
_atom_site_fract_z
Ca1 Ca 0.000 0.000 0.000
Tb1 Tb 0.144 0.144 0.144
Tb2 Tb 0.282 0.282 0.282
Tb3 Tb 0.718 0.718 0.718
Tb4 Tb 0.856 0.856 0.856
Sm1 Sm 0.430 0.430 0.430
Sm2 Sm 0.570 0.570 0.570
# E_form: 43 meV per atom
# total magnetic moment: 0.0 μB per formula unit

***

Entry 7:
# CuSe2I, relaxed, DFT PBE
data_CuSe2I
_chemical_formula_sum 'Cu4 Se8 I4'
_symmetry_space_group_name_H-M 'P 1'
_symmetry_Int_Tables_number 1
_symmetry_space_group_name_Hall 'P 1'
_cell_length_a 6.813
_cell_length_b 6.813
_cell_length_c 9.274
_cell_angle_alpha 90.00
_cell_angle_beta 90.00
_cell_angle_gamma 90.00
loop_
_atom_site_label
_atom_site_type_symbol
_atom_site_fract_x
_atom_site_fract_y
_atom_site_fract_z
Cu1 Cu 0.000 0.000 0.000
Cu2 Cu 0.000 0.500 0.250
Cu3 Cu 0.500 0.000 0.750
Cu4 Cu 0.500 0.500 0.500
Se1 Se 0.171 0.250 0.125
Se2 Se 0.250 0.671 0.375
Se3 Se 0.250 0.829 0.875
Se4 Se 0.329 0.250 0.625
Se5 Se 0.671 0.750 0.625
Se6 Se 0.750 0.171 0.875
Se7 Se 0.750 0.329 0.375
Se8 Se 0.829 0.750 0.125
I1 I 0.000 0.000 0.500
I2 I 0.000 0.500 0.750
I3 I 0.500 0.000 0.250
I4 I 0.500 0.500 0.000
# formation energy (no corrections): 1.02 eV/f.u.
# total magnetic moment: 0.0 μB per formula unit

***

Entry 8:
# K2LaYSe4, relaxed, DFT PBE
data_K2LaYSe4
_chemical_formula_sum 'K2 La1 Y1 Se4'
_symmetry_space_group_name_H-M 'P 1'
_symmetry_Int_Tables_number 1
_symmetry_space_group_name_Hall 'P 1'
_cell_length_a 7.503
_cell_length_b 4.331
_cell_length_c 8.084
_cell_angle_alpha 90.00
_cell_angle_beta 108.01
_cell_angle_gamma 90.00
loop_
_atom_site_label
_atom_site_type_symbol
_atom_site_fract_x
_atom_site_fract_y
_atom_site_fract_z
K1 K 0.000 0.000 0.000
K2 K 0.500 0.500 0.000
La1 La 0.000 0.500 0.500
Y1 Y 0.500 0.000 0.500
Se1 Se 0.247 0.000 0.710
Se2 Se 0.274 0.500 0.293
Se3 Se 0.726 0.500 0.707
Se4 Se 0.753 0.000 0.290
# formation energy (no corrections): -14.36 eV/f.u.
# total magnetic moment: 0.0 μB per formula unit